# PSe3, optimized geometry, DFT PBE-GGA
# Total DFT energy (no corrections) in eV/cell: -59.471
# Energy relative to the elements, uncorrected in eV per atom: 0.25
# Excess energy over the best structure of this formula in the dataset in meV per atom: 21.9
# Crystal system: orthorhombic
# N(E_F) in states/eV/f.u.: 2.14
data_PSe3
_symmetry_space_group_name_H-M 'C m c m'
_symmetry_Int_Tables_number 63
_symmetry_space_group_name_Hall '-C 2c 2'
_cell_length_a 6.996
_cell_length_b 14.423
_cell_length_c 4.100
_cell_angle_alpha 90.00
_cell_angle_beta 90.00
_cell_angle_gamma 90.00
loop_
_atom_site_label
_atom_site_fract_x
_atom_site_fract_y
_atom_site_fract_z
P1 0.000 0.045 0.250
Se1 0.000 0.445 0.250
Se2 0.234 0.149 0.250

# SmHgBi2, optimized geometry, DFT PBE-GGA
# Total DFT energy (no corrections) in eV/cell: -39.521
# Excess energy over the best structure of this formula in the dataset in meV per atom: 336.4
# Crystal system: trigonal
# N(E_F) in states/eV/f.u.: 1.30
# Formation energy in kJ/mol of atoms: -9.43
data_SmHgBi2
_symmetry_space_group_name_H-M 'R -3 m'
_symmetry_Int_Tables_number 166
_symmetry_space_group_name_Hall '-R 3 2"'
_cell_length_a 4.5815
_cell_length_b 4.5815
_cell_length_c 27.7974
_cell_angle_alpha 90.00
_cell_angle_beta 90.00
_cell_angle_gamma 120.00
loop_
_atom_site_label
_atom_site_fract_x
_atom_site_fract_y
_atom_site_fract_z
Sm1 0.0000 0.0000 0.0000
Hg1 0.0000 0.0000 0.5000
Bi1 0.0000 0.0000 0.3985

# Np2Bi2Pd7Au, optimized geometry, DFT PBE-GGA
# Total DFT energy (no corrections) in eV/cell: -148.628
# Crystal system: monoclinic
# N(E_F) in states/eV/f.u.: 26.19
# Formation energy in kJ/mol of atoms: -8.39
data_Np2Bi2Pd7Au
_symmetry_space_group_name_H-M 'C 1 2/m 1'
_symmetry_Int_Tables_number 12
_cell_length_a 5.528
_cell_length_b 5.482
_cell_length_c 16.410
_cell_angle_alpha 90.00
_cell_angle_beta 97.03
_cell_angle_gamma 90.00
loop_
_symmetry_equiv_pos_as_xyz
'x,y,z'
'-x,-y,-z'
'-x,y,-z'
'x,-y,z'
'x+1/2,y+1/2,z'
'-x+1/2,-y+1/2,-z'
'-x+1/2,y+1/2,-z'
'x+1/2,-y+1/2,z'
loop_
_atom_site_label
_atom_site_fract_x
_atom_site_fract_y
_atom_site_fract_z
Np1 0.093 0.000 0.255
Bi1 0.148 0.500 0.381
Pd1 0.000 0.000 0.000
Pd2 0.198 0.000 0.451
Pd3 0.202 0.250 0.869
Au1 0.000 0.500 0.000

Which value of total DFT energy (no corrections) does entry 1 give?
-59.471 eV/cell